# 1
A plane-wave DFT calculation with PBE was carried out for an optimized crystal structure of CaTbPr2.

```
data_CaTbPr2
_chemical_formula_sum 'Ca4 Tb4 Pr8'
_symmetry_space_group_name_H-M 'F m -3 m'
_symmetry_Int_Tables_number 225
_symmetry_space_group_name_Hall '-F 4 2 3'
_cell_length_a 8.326
_cell_length_b 8.326
_cell_length_c 8.326
_cell_angle_alpha 90.00
_cell_angle_beta 90.00
_cell_angle_gamma 90.00
loop_
_atom_site_label
_atom_site_fract_x
_atom_site_fract_y
_atom_site_fract_z
Ca1 0.000 0.000 0.000
Tb1 0.000 0.000 0.500
Pr1 0.250 0.250 0.250
```

Calculated values
DOS at the Fermi energy   28.012 states/eV/cell
Mass density   5.53 g cm⁻³
Spin magnetization   0.00 μB/cell
Energy of formation   0.114 eV per atom


# 2
A plane-wave DFT calculation with PBE was carried out for an optimized crystal structure of Ca2TbPr5.

```
data_Ca2TbPr5
_chemical_formula_sum 'Ca4 Tb2 Pr10'
_symmetry_space_group_name_H-M 'I 4/m m m'
_symmetry_Int_Tables_number 139
_symmetry_space_group_name_Hall '-I 4 2'
_cell_length_a 5.245
_cell_length_b 5.245
_cell_length_c 21.403
_cell_angle_alpha 90.00
_cell_angle_beta 90.00
_cell_angle_gamma 90.00
loop_
_atom_site_label
_atom_site_fract_x
_atom_site_fract_y
_atom_site_fract_z
Ca1 0.000 0.000 0.250
Tb1 0.000 0.000 0.000
Pr1 0.000 0.000 0.500
Pr2 0.000 0.500 0.118
```

Calculated values
DOS at the Fermi energy   25.606 states/eV/cell
Mass density   5.32 g cm⁻³
Spin magnetization   0.00 μB/cell
Energy of formation   0.037 eV per atom


Question: What is the formula in the second record?
Answer: Ca2TbPr5


Question: Which formula does entry 2 have?
Answer: Ca2TbPr5